No. 1
# BaTbGe2Pt5 PBE-GGA relaxed
# **Crystal system**: tetragonal
# **ΔE_f**: -729 meV per atom
# **Magnetization**: 0.0 μB/f.u.
# **Calculated density**: 11.4 g/cm³
# **Symmetry**: No. 123
data_BaTbGe2Pt5
_chemical_formula_sum 'Ba1 Tb1 Ge2 Pt5'
_cell_length_a 4.2491
_cell_length_b 4.2491
_cell_length_c 11.4264
_cell_angle_alpha 90.00
_cell_angle_beta 90.00
_cell_angle_gamma 90.00
_symmetry_space_group_name_H-M 'P 1'
_symmetry_Int_Tables_number 1
loop_
_symmetry_equiv_pos_as_xyz
'x,y,z'
loop_
_atom_site_label
_atom_site_fract_x
_atom_site_fract_y
_atom_site_fract_z
Ba1 0.0000 0.0000 0.5000
Tb1 0.0000 0.0000 0.0000
Ge1 0.5000 0.5000 0.2868
Ge2 0.5000 0.5000 0.7132
Pt1 0.0000 0.5000 0.1776
Pt2 0.5000 0.0000 0.1776
Pt3 0.0000 0.5000 0.8224
Pt4 0.5000 0.0000 0.8224
Pt5 0.5000 0.5000 0.5000

=====

No. 2
# Ba2TlGePt PBE-GGA relaxed
# **Crystal system**: tetragonal
# **ΔE_f**: -498 meV per atom
# **Magnetization**: 0.0 μB/f.u.
# **Calculated density**: 6.7 g/cm³
# **Symmetry**: No. 123
data_Ba2TlGePt
_chemical_formula_sum 'Ba2 Tl1 Ge1 Pt1'
_cell_length_a 6.2603
_cell_length_b 6.2603
_cell_length_c 4.7373
_cell_angle_alpha 90.00
_cell_angle_beta 90.00
_cell_angle_gamma 90.00
_symmetry_space_group_name_H-M 'P 1'
_symmetry_Int_Tables_number 1
loop_
_symmetry_equiv_pos_as_xyz
'x,y,z'
loop_
_atom_site_label
_atom_site_fract_x
_atom_site_fract_y
_atom_site_fract_z
Tl1 0.5000 0.5000 0.5000
Ge1 0.0000 0.0000 0.5000
Ba1 0.0000 0.5000 0.0000
Ba2 0.5000 0.0000 0.0000
Pt1 0.0000 0.0000 0.0000

=====

No. 3
# Ba2TmGe3Pt4 PBE-GGA relaxed
# **Crystal system**: tetragonal
# **ΔE_f**: -835 meV per atom
# **Magnetization**: 0.0 μB/f.u.
# **Calculated density**: 10.7 g/cm³
# **Symmetry**: No. 115
data_Ba2TmGe3Pt4
_chemical_formula_sum 'Ba2 Tm1 Ge3 Pt4'
_cell_length_a 4.5292
_cell_length_b 4.5292
_cell_length_c 10.9519
_cell_angle_alpha 90.00
_cell_angle_beta 90.00
_cell_angle_gamma 90.00
_symmetry_space_group_name_H-M 'P 1'
_symmetry_Int_Tables_number 1
loop_
_symmetry_equiv_pos_as_xyz
'x,y,z'
loop_
_atom_site_label
_atom_site_fract_x
_atom_site_fract_y
_atom_site_fract_z
Ba1 0.5000 0.0000 0.2366
Ba2 0.0000 0.5000 0.7634
Tm1 0.5000 0.5000 0.5000
Ge1 0.0000 0.0000 0.5000
Ge2 0.5000 0.0000 0.8848
Ge3 0.0000 0.5000 0.1152
Pt1 0.5000 0.5000 0.0000
Pt2 0.0000 0.0000 0.0000
Pt3 0.5000 0.0000 0.6461
Pt4 0.0000 0.5000 0.3539

=====

No. 4
# Ba2YGe3Pt4 PBE-GGA relaxed
# **Crystal system**: tetragonal
# **ΔE_f**: -817 meV per atom
# **Magnetization**: 0.0 μB/f.u.
# **Calculated density**: 10.0 g/cm³
# **Symmetry**: No. 115
data_Ba2YGe3Pt4
_chemical_formula_sum 'Ba2 Y1 Ge3 Pt4'
_cell_length_a 4.5277
_cell_length_b 4.5277
_cell_length_c 11.0685
_cell_angle_alpha 90.00
_cell_angle_beta 90.00
_cell_angle_gamma 90.00
_symmetry_space_group_name_H-M 'P 1'
_symmetry_Int_Tables_number 1
loop_
_symmetry_equiv_pos_as_xyz
'x,y,z'
loop_
_atom_site_label
_atom_site_fract_x
_atom_site_fract_y
_atom_site_fract_z
Ba1 0.5000 0.0000 0.2345
Ba2 0.0000 0.5000 0.7655
Y1 0.5000 0.5000 0.5000
Ge1 0.0000 0.0000 0.5000
Ge2 0.5000 0.0000 0.8862
Ge3 0.0000 0.5000 0.1138
Pt1 0.5000 0.5000 0.0000
Pt2 0.0000 0.0000 0.0000
Pt3 0.5000 0.0000 0.6514
Pt4 0.0000 0.5000 0.3486

=====

> What is the calculated density in the third record?

10.7 g/cm³

=====

Please write out number 1 again, unchanged.
# BaTbGe2Pt5 PBE-GGA relaxed
# **Crystal system**: tetragonal
# **ΔE_f**: -729 meV per atom
# **Magnetization**: 0.0 μB/f.u.
# **Calculated density**: 11.4 g/cm³
# **Symmetry**: No. 123
data_BaTbGe2Pt5
_chemical_formula_sum 'Ba1 Tb1 Ge2 Pt5'
_cell_length_a 4.2491
_cell_length_b 4.2491
_cell_length_c 11.4264
_cell_angle_alpha 90.00
_cell_angle_beta 90.00
_cell_angle_gamma 90.00
_symmetry_space_group_name_H-M 'P 1'
_symmetry_Int_Tables_number 1
loop_
_symmetry_equiv_pos_as_xyz
'x,y,z'
loop_
_atom_site_label
_atom_site_fract_x
_atom_site_fract_y
_atom_site_fract_z
Ba1 0.0000 0.0000 0.5000
Tb1 0.0000 0.0000 0.0000
Ge1 0.5000 0.5000 0.2868
Ge2 0.5000 0.5000 0.7132
Pt1 0.0000 0.5000 0.1776
Pt2 0.5000 0.0000 0.1776
Pt3 0.0000 0.5000 0.8224
Pt4 0.5000 0.0000 0.8224
Pt5 0.5000 0.5000 0.5000

=====

Copy entry 3 word for word.
# Ba2TmGe3Pt4 PBE-GGA relaxed
# **Crystal system**: tetragonal
# **ΔE_f**: -835 meV per atom
# **Magnetization**: 0.0 μB/f.u.
# **Calculated density**: 10.7 g/cm³
# **Symmetry**: No. 115
data_Ba2TmGe3Pt4
_chemical_formula_sum 'Ba2 Tm1 Ge3 Pt4'
_cell_length_a 4.5292
_cell_length_b 4.5292
_cell_length_c 10.9519
_cell_angle_alpha 90.00
_cell_angle_beta 90.00
_cell_angle_gamma 90.00
_symmetry_space_group_name_H-M 'P 1'
_symmetry_Int_Tables_number 1
loop_
_symmetry_equiv_pos_as_xyz
'x,y,z'
loop_
_atom_site_label
_atom_site_fract_x
_atom_site_fract_y
_atom_site_fract_z
Ba1 0.5000 0.0000 0.2366
Ba2 0.0000 0.5000 0.7634
Tm1 0.5000 0.5000 0.5000
Ge1 0.0000 0.0000 0.5000
Ge2 0.5000 0.0000 0.8848
Ge3 0.0000 0.5000 0.1152
Pt1 0.5000 0.5000 0.0000
Pt2 0.0000 0.0000 0.0000
Pt3 0.5000 0.0000 0.6461
Pt4 0.0000 0.5000 0.3539

=====

> What is the ΔE_f in the fourth record?

-817 meV per atom